# 1
Here is crystalline MgCuC3 at its relaxed geometry from the Alexandria database. Energies are from GGA-PBE.

VASP energy = -21.684 eV for the cell shown
Energy relative to the elements = 11.7 eV per formula unit
M_tot = 0.000 μB/f.u.
E above lowest polymorph = 0 meV/atom

POSCAR file:
```
MgCuC3
1.0
3.877 0.000 0.000
0.000 3.877 0.000
0.000 0.000 3.877
C Mg Cu
3 1 1
Direct
0.000 0.500 0.000
0.500 0.000 0.000
0.000 0.000 0.500
0.500 0.500 0.500
0.000 0.000 0.000
```

---

# 2
Here is crystalline Mg14CuC at its relaxed geometry from the Alexandria database. Energies are from GGA-PBE.

VASP energy = -31.176 eV for the cell shown
Energy relative to the elements = 4.5 eV per formula unit
M_tot = 0.000 μB/f.u.
E above lowest polymorph = 119 meV/atom

POSCAR file:
```
Mg14CuC
1.0
3.089 -5.350 0.000
3.089 5.350 0.000
0.000 0.000 9.800
Mg Cu C
14 1 1
Direct
0.499 0.501 0.000
0.681 0.841 0.259
0.159 0.319 0.741
0.502 0.498 0.500
0.681 0.841 0.741
0.667 0.333 0.751
0.159 0.841 0.741
0.996 0.498 0.500
0.499 0.998 0.000
0.159 0.319 0.259
0.002 0.501 0.000
0.502 0.004 0.500
0.159 0.841 0.259
0.667 0.333 0.249
0.000 0.000 0.000
0.000 0.000 0.500
```

---

# 3
Here is crystalline Mg6CuC at its relaxed geometry from the Alexandria database. Energies are from GGA-PBE.

VASP energy = -21.036 eV for the cell shown
Energy relative to the elements = 1.9 eV per formula unit
M_tot = 0.000 μB/f.u.
E above lowest polymorph = 0 meV/atom

POSCAR file:
```
Mg6CuC
1.0
2.483 5.284 -2.971
-6.334 0.864 -1.434
-0.402 1.797 2.860
Mg Cu C
6 1 1
Direct
0.203 0.475 0.000
0.875 0.125 0.500
0.525 0.797 0.000
0.621 0.379 0.000
0.873 0.662 0.500
0.338 0.127 0.500
0.089 0.911 0.000
0.476 0.524 0.500
```

---

# 4
Here is crystalline Mg4Cu2C at its relaxed geometry from the Alexandria database. Energies are from GGA-PBE.

VASP energy = -21.816 eV for the cell shown
Energy relative to the elements = 2.0 eV per formula unit
M_tot = 0.000 μB/f.u.

POSCAR file:
```
Mg4Cu2C
1.0
-0.230 -1.585 4.005
4.284 -0.503 0.047
2.712 5.018 4.463
Cu Mg C
2 4 1
Direct
0.367 0.367 0.267
0.633 0.633 0.733
0.000 0.500 0.000
0.830 0.830 0.341
0.500 0.000 0.000
0.170 0.170 0.659
0.000 0.000 0.000
```

---

# 5
Here is crystalline Mg14CuC at its relaxed geometry from the Alexandria database. Energies are from GGA-PBE.

VASP energy = -33.081 eV for the cell shown
Energy relative to the elements = 2.6 eV per formula unit
M_tot = 0.000 μB/f.u.
E above lowest polymorph = 0 meV/atom

POSCAR file:
```
Mg14CuC
1.0
3.986 -5.166 0.000
3.986 5.166 0.000
0.000 0.000 8.247
Mg C Cu
14 1 1
Direct
0.211 0.411 0.681
0.335 0.030 0.500
0.589 0.789 0.319
0.316 0.684 0.000
0.694 0.306 0.308
0.069 0.931 0.792
0.069 0.931 0.208
0.211 0.411 0.319
0.970 0.665 0.500
0.694 0.306 0.692
0.776 0.606 0.000
0.394 0.224 0.000
0.589 0.789 0.681
0.843 0.157 0.000
0.317 0.683 0.500
0.922 0.078 0.500
```

---

# 6
Here is crystalline Mg6CuC at its relaxed geometry from the Alexandria database. Energies are from GGA-PBE.

VASP energy = -20.472 eV for the cell shown
Energy relative to the elements = 2.4 eV per formula unit
M_tot = 0.000 μB/f.u.
E above lowest polymorph = 71 meV/atom

POSCAR file:
```
Mg6CuC
1.0
4.154 -4.603 0.000
4.154 4.603 0.000
0.000 0.000 3.768
C Mg Cu
1 6 1
Direct
0.747 0.253 0.500
0.103 0.392 0.500
0.790 0.560 0.000
0.903 0.097 0.000
0.608 0.897 0.500
0.440 0.210 0.000
0.299 0.701 0.000
0.109 0.891 0.500
```

---

# 7
Here is crystalline MgCu2C at its relaxed geometry from the Alexandria database. Energies are from GGA-PBE.

VASP energy = -15.029 eV for the cell shown
Energy relative to the elements = 4.0 eV per formula unit
M_tot = 0.000 μB/f.u.
E above lowest polymorph = 341 meV/atom

POSCAR file:
```
MgCu2C
1.0
0.000 2.843 2.843
2.843 0.000 2.843
2.843 2.843 0.000
Cu C Mg
2 1 1
Direct
0.250 0.250 0.250
0.750 0.750 0.750
0.000 0.000 0.000
0.500 0.500 0.500
```

---

# 8
Here is crystalline MgCu2PtC at its relaxed geometry from the Alexandria database. Energies are from GGA-PBE.

VASP energy = -16.694 eV for the cell shown
Energy relative to the elements = 8.4 eV per formula unit
M_tot = 1.593 μB/f.u.

POSCAR file:
```
MgCu2PtC
1.0
-2.779 -2.096 -3.153
2.355 -4.207 0.721
-3.031 -1.113 3.411
Cu Pt Mg C
2 1 1 1
Direct
0.500 0.000 0.000
0.000 0.000 0.500
0.000 0.000 0.000
0.000 0.500 0.000
0.500 0.500 0.500
```

---

# 9
Here is crystalline MgCuPt2C at its relaxed geometry from the Alexandria database. Energies are from GGA-PBE.

VASP energy = -27.084 eV for the cell shown
Energy relative to the elements = -0.1 eV per formula unit
M_tot = 0.000 μB/f.u.

POSCAR file:
```
MgCuPt2C
1.0
-0.911 -0.597 4.080
3.169 -2.259 0.377
2.300 3.395 1.010
Pt Cu Mg C
2 1 1 1
Direct
0.500 0.000 0.000
0.000 0.000 0.500
0.000 0.500 0.000
0.500 0.500 0.500
0.000 0.000 0.000
```

---

# 10
Here is crystalline Mg2CuRhC at its relaxed geometry from the Alexandria database. Energies are from GGA-PBE.

VASP energy = -22.513 eV for the cell shown
Energy relative to the elements = 1.3 eV per formula unit
M_tot = 0.000 μB/f.u.

POSCAR file:
```
Mg2CuRhC
1.0
4.366 0.000 0.000
0.000 3.725 0.000
0.000 0.000 4.366
Cu Mg Rh C
1 2 1 1
Direct
0.000 0.500 0.000
0.500 0.000 0.000
0.000 0.000 0.500
0.500 0.500 0.500
0.000 0.000 0.000
```

---

# 11
Here is crystalline MgSc2CuC at its relaxed geometry from the Alexandria database. Energies are from GGA-PBE.

VASP energy = -28.119 eV for the cell shown
Energy relative to the elements = -0.5 eV per formula unit
M_tot = 0.000 μB/f.u.
E above lowest polymorph = 55 meV/atom

POSCAR file:
```
MgSc2CuC
1.0
4.573 0.000 0.000
0.000 4.573 0.000
0.000 0.000 4.007
C Sc Mg Cu
1 2 1 1
Direct
0.000 0.000 0.000
0.000 0.500 0.000
0.500 0.000 0.000
0.500 0.500 0.500
0.000 0.000 0.500
```

---

# 12
Here is crystalline MgSc2CuC at its relaxed geometry from the Alexandria database. Energies are from GGA-PBE.

VASP energy = -28.393 eV for the cell shown
Energy relative to the elements = -0.8 eV per formula unit
M_tot = 0.000 μB/f.u.
E above lowest polymorph = 0 meV/atom

POSCAR file:
```
MgSc2CuC
1.0
4.491 0.000 0.000
0.000 4.491 0.000
0.000 0.000 4.273
Sc Mg Cu C
2 1 1 1
Direct
0.500 0.000 0.000
0.000 0.500 0.000
0.000 0.000 0.500
0.500 0.500 0.500
0.000 0.000 0.000
```

---

# 13
Here is crystalline Mg2CuCSe at its relaxed geometry from the Alexandria database. Energies are from GGA-PBE.

VASP energy = -14.009 eV for the cell shown
M_tot = 1.003 μB/f.u.
Energy relative to the elements, uncorrected = 1197 meV/atom

POSCAR file:
```
Mg2CuCSe
1.0
-1.329 -3.330 3.420
4.103 -1.566 0.069
1.167 3.215 3.584
Cu Mg Se C
1 2 1 1
Direct
0.000 0.500 0.000
0.500 0.000 0.000
0.000 0.000 0.500
0.000 0.000 0.000
0.500 0.500 0.500
```

---

# 14
Here is crystalline Mg2TiCuC at its relaxed geometry from the Alexandria database. Energies are from GGA-PBE.

VASP energy = -17.212 eV for the cell shown
Energy relative to the elements = 7.2 eV per formula unit
M_tot = 0.000 μB/f.u.

POSCAR file:
```
Mg2TiCuC
1.0
4.559 0.000 0.000
0.000 4.661 0.000
0.000 0.000 4.559
Mg Ti C Cu
2 1 1 1
Direct
0.500 0.000 0.000
0.000 0.000 0.500
0.000 0.500 0.000
0.500 0.500 0.500
0.000 0.000 0.000
```

---

# 15
Here is crystalline MnCu3C at its relaxed geometry from the Alexandria database. Energies are from GGA-PBE.

VASP energy = -28.372 eV for the cell shown
Energy relative to the elements = 2.3 eV per formula unit
M_tot = 4.230 μB/f.u.
E above lowest polymorph = 0 meV/atom

POSCAR file:
```
MnCu3C
1.0
3.896 0.000 0.000
0.000 3.896 0.000
0.000 0.000 3.896
Mn Cu C
1 3 1
Direct
0.500 0.500 0.500
0.000 0.500 0.000
0.500 0.000 0.000
0.000 0.000 0.500
0.000 0.000 0.000
```

---

# 16
Here is crystalline Mn3CuC at its relaxed geometry from the Alexandria database. Energies are from GGA-PBE.

VASP energy = -40.377 eV for the cell shown
Energy relative to the elements = 0.5 eV per formula unit
M_tot = 7.986 μB/f.u.
E above lowest polymorph = 0 meV/atom

POSCAR file:
```
Mn3CuC
1.0
-0.040 -2.797 -2.675
0.260 -2.671 2.789
-3.861 -0.151 0.215
C Mn Cu
1 3 1
Direct
0.000 0.000 0.000
0.000 0.000 0.500
0.000 0.500 0.000
0.500 0.000 0.000
0.500 0.500 0.500
```

---

# 17
Here is crystalline MnCu3C at its relaxed geometry from the Alexandria database. Energies are from GGA-PBE.

VASP energy = -19.001 eV for the cell shown
Energy relative to the elements = 11.7 eV per formula unit
M_tot = 5.157 μB/f.u.
E above lowest polymorph = 1874 meV/atom

POSCAR file:
```
MnCu3C
1.0
-3.140 2.392 2.084
-3.109 -1.736 -2.691
-0.632 -3.345 2.887
Cu C Mn
3 1 1
Direct
0.000 0.500 0.000
0.000 0.000 0.500
0.500 0.000 0.000
0.500 0.500 0.500
0.000 0.000 0.000
```

---

# 18
Here is crystalline Mn3CuC at its relaxed geometry from the Alexandria database. Energies are from GGA-PBE.

VASP energy = -31.015 eV for the cell shown
Energy relative to the elements = 9.8 eV per formula unit
M_tot = 11.358 μB/f.u.
E above lowest polymorph = 1872 meV/atom

POSCAR file:
```
Mn3CuC
1.0
-1.211 0.892 -4.235
-4.123 -1.574 0.847
-1.315 4.114 1.242
Cu Mn C
1 3 1
Direct
0.000 0.000 0.000
0.000 0.000 0.500
0.000 0.500 0.000
0.500 0.000 0.000
0.500 0.500 0.500
```

---

# 19
Here is crystalline MnCuC3 at its relaxed geometry from the Alexandria database. Energies are from GGA-PBE.

VASP energy = -26.460 eV for the cell shown
Energy relative to the elements = 14.5 eV per formula unit
M_tot = 0.014 μB/f.u.
E above lowest polymorph = 1036 meV/atom

POSCAR file:
```
MnCuC3
1.0
3.732 0.000 0.000
0.000 3.732 0.000
0.000 0.000 3.732
Cu C Mn
1 3 1
Direct
0.000 0.000 0.000
0.500 0.000 0.000
0.000 0.000 0.500
0.000 0.500 0.000
0.500 0.500 0.500
```

---

# 20
Here is crystalline MnCuC3 at its relaxed geometry from the Alexandria database. Energies are from GGA-PBE.

VASP energy = -31.638 eV for the cell shown
Energy relative to the elements = 9.3 eV per formula unit
M_tot = 0.000 μB/f.u.
E above lowest polymorph = 0 meV/atom

POSCAR file:
```
MnCuC3
1.0
3.741 0.000 0.000
0.000 3.741 0.000
0.000 0.000 3.741
C Mn Cu
3 1 1
Direct
0.000 0.500 0.000
0.500 0.000 0.000
0.000 0.000 0.500
0.000 0.000 0.000
0.500 0.500 0.500
```